Record 1
Below is a relaxed HfMgIN2 crystal, with properties calculated at the GGA-PBEsol level.

Values from the calculation:
- DOS(E_F): 2.505 states/eV/f.u.
- Energy: -6.17 eV per atom
- Uncorrected formation energy: 37 meV/atom
- Magnetization: 0.01 μB per formula unit

a b c (Å): 4.150 4.150 5.753
angles (deg): 90.00 90.00 90.00
Element x y z (fractional)
I 0.000 0.000 0.500
Mg 0.500 0.500 0.500
Hf 0.000 0.000 0.000
N 0.000 0.500 0.000
N 0.500 0.000 0.000

=====

Record 2
Below is a relaxed HfMgPI2 crystal, with properties calculated at the GGA-PBEsol level.

Values from the calculation:
- DOS(E_F): 3.874 states/eV/f.u.
- Energy: -3.71 eV per atom
- Uncorrected formation energy: 596 meV/atom
- Magnetization: 0.71 μB per formula unit

a b c (Å): 4.832 5.315 5.315
angles (deg): 90.00 90.00 90.00
Element x y z (fractional)
I 0.000 0.000 0.500
I 0.000 0.500 0.000
P 0.500 0.000 0.000
Mg 0.000 0.000 0.000
Hf 0.500 0.500 0.500